## Li2GaRu (GGA-PBE)

Data for a geometry-optimized Li2GaRu structure.

## Properties
crystal system	tetragonal
total magnetic moment	0.000	μB/atom
DOS at the Fermi energy	0.709	states/eV/atom
symmetry	I-42d, No. 122

Cell: 6.8752 6.8752 5.4469 Å, 50.87 50.87 90.00°
Last column: nearest neighbours and their distance in Å.
Sites, in units of the cell vectors:
1 Ga 0.5000 0.5000 0.0000  2 Ru 2.46, 4 Li 2.50
2 Ga 0.2500 0.7500 0.5000  2 Ru 2.46, 4 Li 2.50
3 Ru 0.0000 0.0000 0.0000  2 Ga 2.46, 4 Li 2.52
4 Ru 0.7500 0.2500 0.5000  2 Ga 2.46, 4 Li 2.52
5 Li 0.3750 0.3770 0.7500  2 Li 2.46, 2 Ga 2.50, 2 Ru 2.52
6 Li 0.6230 0.1250 0.2500  2 Li 2.46, 2 Ga 2.50, 2 Ru 2.52
7 Li 0.1270 0.6250 0.2500  2 Li 2.46, 2 Ga 2.50, 2 Ru 2.52
8 Li 0.8750 0.8730 0.7500  2 Li 2.46, 2 Ga 2.50, 2 Ru 2.52


## LiGa2Ru2 (GGA-PBE)

Data for a geometry-optimized LiGa2Ru2 structure.

## Properties
crystal system	monoclinic
total magnetic moment	0.000	μB/atom
DOS at the Fermi energy	0.706	states/eV/atom
symmetry	C2/m, No. 12

Cell: 5.3513 5.3510 4.7733 Å, 50.24 50.24 48.79°
Last column: nearest neighbours and their distance in Å.
Sites, in units of the cell vectors:
1 Ru 0.3925 0.3925 0.4455  1 Ru 2.49, 5 Ga 2.54-2.69, 3 Li 2.72
2 Ru 0.6075 0.6075 0.5545  1 Ru 2.49, 5 Ga 2.54-2.69, 3 Li 2.72
3 Li 0.0000 0.0000 0.0000  6 Ru 2.72, 8 Ga 2.80-3.02
4 Ga 0.7643 0.7643 0.8144  5 Ru 2.54-2.69, 2 Ga 2.72, 1 Li 2.80
5 Ga 0.2357 0.2357 0.1856  5 Ru 2.54-2.69, 2 Ga 2.72, 1 Li 2.80


## LiGa2Ru2 (GGA-PBE)

Data for a geometry-optimized LiGa2Ru2 structure.

## Properties
crystal system	tetragonal
total magnetic moment	0.000	μB/atom
DOS at the Fermi energy	0.571	states/eV/atom
symmetry	P4/mbm, No. 127

Cell: 6.7935 6.7935 3.1816 Å, 90.00 90.00 90.00°
Last column: nearest neighbours and their distance in Å.
Sites, in units of the cell vectors:
1 Ga 0.8600 0.6400 0.0000  6 Ru 2.51-2.58, 2 Li 2.62, 1 Ga 2.69
2 Ga 0.1400 0.3600 0.0000  6 Ru 2.51-2.58, 2 Li 2.62, 1 Ga 2.69
3 Ga 0.6400 0.1400 0.0000  6 Ru 2.51-2.58, 2 Li 2.62, 1 Ga 2.69
4 Ga 0.3600 0.8600 0.0000  6 Ru 2.51-2.58, 2 Li 2.62, 1 Ga 2.69
5 Ru 0.1579 0.6579 0.5000  6 Ga 2.51-2.58
6 Ru 0.3421 0.1579 0.5000  6 Ga 2.51-2.58
7 Ru 0.8421 0.3421 0.5000  6 Ga 2.51-2.58
8 Ru 0.6579 0.8421 0.5000  6 Ga 2.51-2.58
9 Li 0.5000 0.5000 0.0000  4 Ga 2.62
10 Li 0.0000 0.0000 0.0000  4 Ga 2.62


## Li23Ga6Ru (GGA-PBE)

Data for a geometry-optimized Li23Ga6Ru structure.

## Properties
crystal system	cubic
total magnetic moment	0.000	μB/atom
DOS at the Fermi energy	0.499	states/eV/atom
symmetry	Fm-3m, No. 225

Cell: 8.9044 8.9044 8.9044 Å, 60.00 60.00 60.00°
Last column: nearest neighbours and their distance in Å.
Sites, in units of the cell vectors:
1 Ga 0.2592 0.7408 0.7408  8 Li 2.63-2.79
2 Ga 0.7408 0.2592 0.7408  8 Li 2.63-2.79
3 Ga 0.2592 0.7408 0.2592  8 Li 2.63-2.79
4 Ga 0.7408 0.7408 0.2592  8 Li 2.63-2.79
5 Ga 0.7408 0.2592 0.2592  8 Li 2.63-2.79
6 Ga 0.2592 0.2592 0.7408  8 Li 2.63-2.79
7 Li 0.6264 0.1245 0.1245  4 Li 2.72-2.73, 3 Ga 2.79
8 Li 0.3736 0.8755 0.8755  4 Li 2.72-2.73, 3 Ga 2.79
9 Li 0.0000 0.5000 0.0000  8 Li 2.73-2.76
10 Li 0.0000 0.0000 0.0000  8 Li 2.72
11 Li 0.5000 0.0000 0.0000  8 Li 2.73-2.76
12 Li 0.3795 0.3795 0.3795  3 Ga 2.63, 1 Ru 2.63, 3 Li 2.76
13 Li 0.5000 0.5000 0.0000  8 Li 2.73-2.76
14 Li 0.0000 0.5000 0.5000  8 Li 2.73-2.76
15 Li 0.8755 0.3736 0.8755  4 Li 2.72-2.73, 3 Ga 2.79
16 Li 0.8616 0.3795 0.3795  3 Ga 2.63, 1 Ru 2.63, 3 Li 2.76
17 Li 0.1245 0.1245 0.1245  4 Li 2.72-2.73, 3 Ga 2.79
18 Li 0.6205 0.6205 0.6205  3 Ga 2.63, 1 Ru 2.63, 3 Li 2.76
19 Li 0.1245 0.6264 0.1245  4 Li 2.72-2.73, 3 Ga 2.79
20 Li 0.0000 0.0000 0.5000  8 Li 2.73-2.76
21 Li 0.6205 0.6205 0.1384  3 Ga 2.63, 1 Ru 2.63, 3 Li 2.76
22 Li 0.6205 0.1384 0.6205  3 Ga 2.63, 1 Ru 2.63, 3 Li 2.76
23 Li 0.3795 0.3795 0.8616  3 Ga 2.63, 1 Ru 2.63, 3 Li 2.76
24 Li 0.8755 0.8755 0.3736  4 Li 2.72-2.73, 3 Ga 2.79
25 Li 0.8755 0.8755 0.8755  4 Li 2.72-2.73, 3 Ga 2.79
26 Li 0.1245 0.1245 0.6264  4 Li 2.72-2.73, 3 Ga 2.79
27 Li 0.1384 0.6205 0.6205  3 Ga 2.63, 1 Ru 2.63, 3 Li 2.76
28 Li 0.3795 0.8616 0.3795  3 Ga 2.63, 1 Ru 2.63, 3 Li 2.76
29 Li 0.5000 0.0000 0.5000  8 Li 2.73-2.76
30 Ru 0.5000 0.5000 0.5000  8 Li 2.63


Formation energy (eV/atom)
0.179, -0.083, -0.225, -0.105